Here is a relaxed Li3CrO4 crystal from the Alexandria database. Energies are from GGA+U.

As for the symmetry: No. 1. For the offset from the most stable computed form, the calculation gives 0.059 eV/atom.

Cell lengths 5.1381, 5.4408, 7.8411 Å; angles 82.83, 72.10, 63.94 degrees
With the nearest neighbours (Å) after each atom.
Positions (direct):
1 Li 0.0000 0.0000 0.0000  4 O 1.94-2.07
2 Li 0.0160 0.5287 0.1655  4 O 2.00-2.09
3 Li 0.3501 0.4720 0.4188  4 O 1.92-2.14
4 Li 0.5899 0.8959 0.7997  4 O 1.97-2.13
5 Li 0.7765 0.8982 0.4616  4 O 2.01-2.08
6 Li 0.8423 0.3955 0.5322  4 O 1.97-2.10
7 Cr 0.2255 0.4805 0.7672  4 O 1.69-1.78
8 Cr 0.4010 0.9214 0.2307  4 O 1.70-1.75
9 O 0.0921 0.3154 0.9464  1 Cr 1.70
10 O 0.1166 0.8308 0.2316  1 Cr 1.73
11 O 0.2256 0.2441 0.3258  1 Cr 1.72, 1 Li 1.92
12 O 0.3130 0.7245 0.8137  1 Cr 1.69
13 O 0.5515 0.2313 0.6211  1 Cr 1.78, 1 Li 1.97
14 O 0.6114 0.6772 0.3618  1 Cr 1.75
15 O 0.6597 0.9118 0.0311  1 Cr 1.70
16 O 0.9738 0.6247 0.6324  1 Cr 1.77, 1 Li 1.99